Compound: Sr2NiH6Pd
Source: the Alexandria database
Functional: PBE
Structure: optimized geometry

Properties
The electronic total energy is -39.32 eV per formula unit. The magnetization is 0.000 μB/f.u.

Structure (POSCAR):
```
Sr2NiH6Pd
1.0
-2.6819 2.6819 3.7129
2.6819 -2.6819 3.7129
2.6819 2.6819 -3.7129
Sr Ni H Pd
2 1 6 1
Cartesian
2.6819 0.0000 1.8564 Sr
0.0000 2.6819 1.8564 Sr
0.0000 0.0000 0.0000 Ni
1.2199 1.2199 0.0000 H
1.4620 -1.4620 3.7129 H
0.0000 0.0000 1.7678 H
0.0000 0.0000 5.6580 H
-1.4620 1.4620 3.7129 H
1.4620 1.4620 3.7129 H
0.0000 0.0000 3.7129 Pd
```

=====

Compound: Sr2NiHPd
Source: the Alexandria database
Functional: PBE
Structure: optimized geometry

Properties
The electronic total energy is -19.21 eV per formula unit. The magnetization is 0.000 μB/f.u.

Structure (POSCAR):
```
Sr2NiHPd
1.0
5.3370 0.0000 0.0000
0.0000 5.3370 0.0000
0.0000 0.0000 3.5537
Sr Ni H Pd
2 1 1 1
Cartesian
0.0000 2.6685 0.0000 Sr
2.6685 0.0000 0.0000 Sr
0.0000 0.0000 1.7768 Ni
0.0000 0.0000 0.0000 H
2.6685 2.6685 1.7768 Pd
```

=====

Copy entry 2 word for word.
Compound: Sr2NiHPd
Source: the Alexandria database
Functional: PBE
Structure: optimized geometry

Properties
The electronic total energy is -19.21 eV per formula unit. The magnetization is 0.000 μB/f.u.

Structure (POSCAR):
```
Sr2NiHPd
1.0
5.3370 0.0000 0.0000
0.0000 5.3370 0.0000
0.0000 0.0000 3.5537
Sr Ni H Pd
2 1 1 1
Cartesian
0.0000 2.6685 0.0000 Sr
2.6685 0.0000 0.0000 Sr
0.0000 0.0000 1.7768 Ni
0.0000 0.0000 0.0000 H
2.6685 2.6685 1.7768 Pd
```